# 1
Below is TaBe at its PBEsol-relaxed geometry, with properties calculated at the SCAN level.

a b c (Å): 2.785 2.785 4.269
angles (deg): 90.00 90.00 120.00
Element x y z (fractional)
Be 0.000 0.000 0.000
Ta 0.333 0.667 0.500

Values from the calculation:
distance to the lowest polymorph of the same formula = 526 meV per atom

***

# 2
Below is TaBe at its PBEsol-relaxed geometry, with properties calculated at the SCAN level.

a b c (Å): 4.296 4.296 4.296
angles (deg): 60.00 60.00 60.00
Element x y z (fractional)
Ta 0.500 0.500 0.500
Ta 0.750 0.750 0.750
Be 0.000 0.000 0.000
Be 0.250 0.250 0.250

Values from the calculation:
distance to the lowest polymorph of the same formula = 661 meV per atom

***

# 3
Below is Ta3Be at its PBEsol-relaxed geometry, with properties calculated at the SCAN level.

a b c (Å): 3.952 3.952 4.968
angles (deg): 113.44 113.44 90.00
Element x y z (fractional)
Ta 0.750 0.250 0.500
Ta 0.500 0.500 0.000
Ta 0.250 0.750 0.500
Be 0.000 0.000 0.000

Values from the calculation:
distance to the lowest polymorph of the same formula = 8 meV per atom

***

# 4
Below is Ta2BeTc at its PBEsol-relaxed geometry, with properties calculated at the SCAN level.

a b c (Å): 4.131 4.533 4.131
angles (deg): 62.89 90.00 117.11
Element x y z (fractional)
Ta 0.250 0.500 0.250
Ta 0.750 0.500 0.750
Tc 0.000 0.000 0.000
Be 0.500 0.000 0.500

***

no.,total DFT energy (no corrections) (eV per atom),magnetization (μB per formula unit),ΔE_f (eV/f.u.)
1,-35.08,0.00,0.77
2,-34.95,0.00,1.04
3,-50.85,0.00,0.72
4,-43.24,0.00,-0.36